Density functional theory data (GGA-PBE) for crystalline PrMg2Ag2Sn2 at its relaxed geometry.

The value obtained for the energy of formation is -8.747 kcal/mol of atoms. The value obtained for the uncorrected energy is -73.00 eV for the cell shown. The calculation puts the total magnetic moment at 0.0 μB per formula unit.

The space group is R-3m (No. 166, hexagonal axes) and the conventional cell measures 4.6895, 4.6895 and 25.5001 Å, with angles of 90.00, 90.00 and 120.00 degrees. Symmetry generates all atoms from Pr at (0.0000, 0.0000, 0.0000), Mg at (0.0000, 0.0000, 0.1386), Ag at (0.0000, 0.0000, 0.4409) and Sn at (0.0000, 0.0000, 0.2618).